1.
Computed, not measured: a geometry-optimized YBr3 structure at the PBE level of DFT.

The structure in extended XYZ format:
```
8
Lattice="5.939 0.000 0.000 0.000 5.939 0.000 0.000 0.000 5.939" Properties=species:S:1:pos:R:3 pbc="T T T"
Br 1.485 2.970 0.000
Br 2.970 0.000 4.454
Y 0.000 0.000 0.000
Br 0.000 1.485 2.970
Y 2.970 2.970 2.970
Br 4.454 2.970 0.000
Br 2.970 0.000 1.485
Br 0.000 4.454 2.970
```

Total magnetization = 0.00 μB/cell
E_form (uncorrected) = -1147.0 meV per atom
Volume = 26.2 Å³/atom
Space-group type = No. 223


2.
Computed, not measured: a geometry-optimized YZnBr2 structure at the PBE level of DFT.

The structure in extended XYZ format:
```
4
Lattice="-1.527 0.674 3.571 -1.961 -2.123 -2.680 4.935 -9.482 3.899" Properties=species:S:1:pos:R:3 pbc="T T T"
Zn 1.957 -7.836 3.370
Br 2.123 -4.080 1.678
Y -0.510 -3.095 1.420
Br 0.344 -0.661 0.272
```

Total magnetization = 0.11 μB/cell
D(E_F) = 2.05 states/eV per cell
E_form (uncorrected) = -820.4 meV per atom
Volume = 37.9 Å³/atom
Space-group type = No. 65


3.
Computed, not measured: a geometry-optimized YZnBr2 structure at the PBE level of DFT.

The structure in extended XYZ format:
```
8
Lattice="9.934 0.000 0.000 0.000 9.934 0.000 4.967 4.967 3.059" Properties=species:S:1:pos:R:3 pbc="T T T"
Zn 4.967 4.967 0.000
Y 9.934 4.967 1.529
Br 11.053 7.450 0.765
Br 12.417 3.848 2.294
Zn 4.967 9.934 1.529
Br 8.814 2.483 0.765
Y 0.000 0.000 0.000
Br 7.450 6.086 2.294
```

Total magnetization = 0.00 μB/cell
D(E_F) = 3.18 states/eV per cell
E_form (uncorrected) = -881.2 meV per atom
Volume = 37.7 Å³/atom
Space-group type = No. 122


4.
Computed, not measured: a geometry-optimized YZnBr structure at the PBE level of DFT.

The structure in extended XYZ format:
```
3
Lattice="-2.725 -4.094 0.271 4.855 -0.320 -0.761 0.573 -0.135 3.709" Properties=species:S:1:pos:R:3 pbc="T T T"
Br 0.096 -0.023 0.623
Y -0.103 -2.858 0.543
Zn 2.710 -1.668 2.054
```

Total magnetization = 0.00 μB/cell
D(E_F) = 3.11 states/eV per cell
E_form (uncorrected) = -450.9 meV per atom
Volume = 26.3 Å³/atom
Space-group type = No. 156


5.
Computed, not measured: a geometry-optimized YZnBr structure at the PBE level of DFT.

The structure in extended XYZ format:
```
3
Lattice="3.731 0.000 0.000 -1.865 3.231 0.000 0.000 0.000 7.692" Properties=species:S:1:pos:R:3 pbc="T T T"
Y 1.865 1.077 2.545
Zn 0.000 2.154 4.560
Br 0.000 0.000 0.587
```

Total magnetization = 0.00 μB/cell
D(E_F) = 1.16 states/eV per cell
E_form (uncorrected) = -641.5 meV per atom
Volume = 30.9 Å³/atom
Space-group type = No. 156


6.
Computed, not measured: a geometry-optimized YZnBr2 structure at the PBE level of DFT.

The structure in extended XYZ format:
```
4
Lattice="3.936 0.000 0.000 0.000 5.530 0.000 0.000 0.000 4.546" Properties=species:S:1:pos:R:3 pbc="T T T"
Y 1.968 0.000 2.273
Br 1.968 2.765 0.000
Br 0.000 0.000 0.000
Zn 0.000 2.765 2.273
```

Total magnetization = 0.00 μB/cell
D(E_F) = 2.63 states/eV per cell
E_form (uncorrected) = -653.0 meV per atom
Volume = 24.7 Å³/atom
Space-group type = No. 47


7.
Computed, not measured: a geometry-optimized YZnBr2 structure at the PBE level of DFT.

The structure in extended XYZ format:
```
4
Lattice="-0.749 -6.535 9.834 2.155 -4.221 10.840 -1.482 -3.068 11.330" Properties=species:S:1:pos:R:3 pbc="T T T"
Br -0.009 -1.575 3.646
Zn 0.000 0.000 0.000
Br -0.067 -12.249 28.358
Y -0.038 -6.912 16.002
```

Total magnetization = 0.00 μB/cell
D(E_F) = 2.85 states/eV per cell
E_form (uncorrected) = -961.9 meV per atom
Volume = 37.2 Å³/atom
Space-group type = No. 166


8.
Computed, not measured: a geometry-optimized Y2ZnBr structure at the PBE level of DFT.

The structure in extended XYZ format:
```
4
Lattice="-3.545 2.735 -0.347 -1.160 -1.897 -3.097 -3.131 -3.626 3.394" Properties=species:S:1:pos:R:3 pbc="T T T"
Br -5.091 -2.753 1.247
Y -2.740 -3.174 2.970
Zn -1.175 -1.361 1.273
Y -3.526 -0.940 -0.450
```

Total magnetization = 0.00 μB/cell
D(E_F) = 2.17 states/eV per cell
E_form (uncorrected) = -665.9 meV per atom
Volume = 25.1 Å³/atom
Space-group type = No. 47


9.
Computed, not measured: a geometry-optimized YZnBr2 structure at the PBE level of DFT.

The structure in extended XYZ format:
```
4
Lattice="-5.807 -5.665 -1.101 -2.617 -7.640 -1.339 -0.998 -2.149 4.472" Properties=species:S:1:pos:R:3 pbc="T T T"
Zn -2.355 -3.863 0.508
Y -7.066 -11.590 1.524
Br -1.800 -3.355 3.741
Br -3.909 -6.520 1.747
```

Total magnetization = 0.00 μB/cell
D(E_F) = 2.78 states/eV per cell
E_form (uncorrected) = -955.0 meV per atom
Volume = 35.9 Å³/atom
Space-group type = No. 12


10.
Computed, not measured: a geometry-optimized YZnBr3 structure at the PBE level of DFT.

The structure in extended XYZ format:
```
5
Lattice="5.193 0.000 0.000 0.000 5.193 0.000 0.000 0.000 5.193" Properties=species:S:1:pos:R:3 pbc="T T T"
Zn 0.000 0.000 0.000
Y 2.596 2.596 2.596
Br 2.596 0.000 0.000
Br 0.000 0.000 2.596
Br 0.000 2.596 0.000
```

Total magnetization = 1.34 μB/cell
D(E_F) = 5.57 states/eV per cell
E_form (uncorrected) = -442.8 meV per atom
Volume = 28.0 Å³/atom
Space-group type = No. 221


11.
Computed, not measured: a geometry-optimized YZnBr2 structure at the PBE level of DFT.

The structure in extended XYZ format:
```
4
Lattice="-5.539 0.831 8.070 -8.194 0.225 5.414 -6.359 -2.719 6.976" Properties=species:S:1:pos:R:3 pbc="T T T"
Y -9.931 -0.822 10.112
Br -4.551 -0.377 4.635
Br -0.594 -0.049 0.605
Zn -15.062 -1.246 15.338
```

Total magnetization = 0.84 μB/cell
D(E_F) = 1.55 states/eV per cell
E_form (uncorrected) = -887.2 meV per atom
Volume = 30.0 Å³/atom
Space-group type = No. 160


12.
Computed, not measured: a geometry-optimized YZnBr structure at the PBE level of DFT.

The structure in extended XYZ format:
```
6
Lattice="-3.039 1.259 2.138 -0.220 -0.896 3.814 4.532 11.802 3.093" Properties=species:S:1:pos:R:3 pbc="T T T"
Br 1.368 10.439 6.598
Br -0.095 1.726 2.448
Zn 0.744 5.037 5.292
Y -1.114 4.412 3.019
Zn 0.528 7.128 3.754
Y 2.386 7.753 6.027
```

Total magnetization = 0.00 μB/cell
D(E_F) = 3.43 states/eV per cell
E_form (uncorrected) = -884.1 meV per atom
Volume = 28.5 Å³/atom
Space-group type = No. 12